Entry 1:
The following is a PBE-GGA calculation of a geometry-optimized RbPb2S2 structure, from Alexandria via LeMat-Bulk.

- E_form (uncorrected) (kJ/mol of formula units) = -258
- distance to the lowest polymorph of the same formula (meV/atom) = 0

Geometry as CIF:
```
data_RbPb2S2
_cell_length_a 5.446
_cell_length_b 5.446
_cell_length_c 10.869
_cell_angle_alpha 90.00
_cell_angle_beta 90.00
_cell_angle_gamma 90.00
_symmetry_space_group_name_H-M 'I 4/m m m'
_symmetry_Int_Tables_number 139
_symmetry_space_group_name_Hall '-I 4 2'
loop_
_atom_site_label
_atom_site_fract_x
_atom_site_fract_y
_atom_site_fract_z
Rb1 0.000 0.000 0.000
Pb1 0.000 0.000 0.341
S1 0.000 0.500 0.250
```

=====

Entry 2:
The following is a PBE-GGA calculation of a geometry-optimized Rb2Pb2S3 structure, from Alexandria via LeMat-Bulk.

- E_form (uncorrected) (kJ/mol of formula units) = -511
- distance to the lowest polymorph of the same formula (meV/atom) = 16

Geometry as CIF:
```
data_Rb2Pb2S3
_cell_length_a 16.212
_cell_length_b 17.292
_cell_length_c 8.102
_cell_angle_alpha 90.00
_cell_angle_beta 117.75
_cell_angle_gamma 90.00
_symmetry_space_group_name_H-M 'C 1 2/c 1'
_symmetry_Int_Tables_number 15
_symmetry_space_group_name_Hall '-C 2yc'
loop_
_atom_site_label
_atom_site_fract_x
_atom_site_fract_y
_atom_site_fract_z
Rb1 0.000 0.076 0.250
Rb2 0.000 0.242 0.750
Rb3 0.110 0.422 0.609
Pb1 0.177 0.240 0.242
Pb2 0.190 0.084 0.805
S1 0.126 0.387 0.052
S2 0.139 0.235 0.537
S3 0.165 0.053 0.121
```

=====

Entry 3:
The following is a PBE-GGA calculation of a geometry-optimized Rb2PbS2 structure, from Alexandria via LeMat-Bulk.

- E_form (uncorrected) (kJ/mol of formula units) = -301
- distance to the lowest polymorph of the same formula (meV/atom) = 245

Geometry as CIF:
```
data_Rb2PbS2
_cell_length_a 8.203
_cell_length_b 8.203
_cell_length_c 4.790
_cell_angle_alpha 90.00
_cell_angle_beta 90.00
_cell_angle_gamma 90.00
_symmetry_space_group_name_H-M 'P 4/m b m'
_symmetry_Int_Tables_number 127
_symmetry_space_group_name_Hall '-P 4 2ab'
loop_
_atom_site_label
_atom_site_fract_x
_atom_site_fract_y
_atom_site_fract_z
Rb1 0.137 0.363 0.000
Pb1 0.000 0.000 0.500
S1 0.181 0.681 0.500
```

=====

Entry 4:
The following is a PBE-GGA calculation of a geometry-optimized RbPbS2 structure, from Alexandria via LeMat-Bulk.

- E_form (uncorrected) (kJ/mol of formula units) = -233

Geometry as CIF:
```
data_RbPbS2
_cell_length_a 8.536
_cell_length_b 10.619
_cell_length_c 6.871
_cell_angle_alpha 90.00
_cell_angle_beta 90.00
_cell_angle_gamma 90.00
_symmetry_space_group_name_H-M 'P n a 21'
_symmetry_Int_Tables_number 33
_symmetry_space_group_name_Hall 'P 2c -2n'
loop_
_atom_site_label
_atom_site_fract_x
_atom_site_fract_y
_atom_site_fract_z
Rb1 0.144 0.127 0.000
Pb1 0.036 0.367 0.435
S1 0.031 0.401 0.813
S2 0.165 0.809 0.838
```

=====

Entry 5:
The following is a PBE-GGA calculation of a geometry-optimized RbPbS2 structure, from Alexandria via LeMat-Bulk.

- E_form (uncorrected) (kJ/mol of formula units) = -232

Geometry as CIF:
```
data_RbPbS2
_cell_length_a 4.1698
_cell_length_b 4.1698
_cell_length_c 23.5951
_cell_angle_alpha 90.00
_cell_angle_beta 90.00
_cell_angle_gamma 120.00
_symmetry_space_group_name_H-M 'R 3 m'
_symmetry_Int_Tables_number 160
_symmetry_space_group_name_Hall 'R 3 -2"'
loop_
_atom_site_label
_atom_site_fract_x
_atom_site_fract_y
_atom_site_fract_z
Rb1 0.0000 0.0000 0.0000
Pb1 0.0000 0.0000 0.1680
S1 0.0000 0.0000 0.5680
S2 0.0000 0.0000 0.7673
```

=====

Entry 6:
The following is a PBE-GGA calculation of a geometry-optimized Rb3Pb2S4 structure, from Alexandria via LeMat-Bulk.

- E_form (uncorrected) (kJ/mol of formula units) = -675

Geometry as CIF:
```
data_Rb3Pb2S4
_cell_length_a 14.294
_cell_length_b 11.302
_cell_length_c 8.253
_cell_angle_alpha 90.00
_cell_angle_beta 91.01
_cell_angle_gamma 90.00
_symmetry_space_group_name_H-M 'C 1 2/c 1'
_symmetry_Int_Tables_number 15
_symmetry_space_group_name_Hall '-C 2yc'
loop_
_atom_site_label
_atom_site_fract_x
_atom_site_fract_y
_atom_site_fract_z
Rb1 0.000 0.105 0.250
Rb2 0.117 0.369 0.489
Pb1 0.191 0.127 0.896
S1 0.124 0.334 0.068
S2 0.157 0.071 0.570
```

=====

Entry 7:
The following is a PBE-GGA calculation of a geometry-optimized RbSbPb2S4 structure, from Alexandria via LeMat-Bulk.

- E_form (uncorrected) (kJ/mol of formula units) = -373

Geometry as CIF:
```
data_RbSbPb2S4
_cell_length_a 8.464
_cell_length_b 8.599
_cell_length_c 11.963
_cell_angle_alpha 90.00
_cell_angle_beta 90.00
_cell_angle_gamma 90.00
_symmetry_space_group_name_H-M 'I m m a'
_symmetry_Int_Tables_number 74
_symmetry_space_group_name_Hall '-I 2b 2'
loop_
_atom_site_label
_atom_site_fract_x
_atom_site_fract_y
_atom_site_fract_z
Rb1 0.250 0.250 0.250
Sb1 0.000 0.000 0.000
Pb1 0.000 0.000 0.500
Pb2 0.250 0.250 0.750
S1 0.000 0.018 0.766
S2 0.234 0.250 0.994
```

=====

Entry 8:
The following is a PBE-GGA calculation of a geometry-optimized Rb2Pb2Se2S structure, from Alexandria via LeMat-Bulk.

- E_form (uncorrected) (kJ/mol of formula units) = -513

Geometry as CIF:
```
data_Rb2Pb2Se2S
_cell_length_a 4.727
_cell_length_b 8.122
_cell_length_c 8.392
_cell_angle_alpha 62.25
_cell_angle_beta 89.96
_cell_angle_gamma 73.17
_symmetry_space_group_name_H-M 'P -1'
_symmetry_Int_Tables_number 2
_symmetry_space_group_name_Hall '-P 1'
loop_
_atom_site_label
_atom_site_fract_x
_atom_site_fract_y
_atom_site_fract_z
Rb1 0.037 0.425 0.259
Pb1 0.302 0.895 0.217
Se1 0.343 0.813 0.922
S1 0.500 0.500 0.500
```

=====

Entry 9:
The following is a PBE-GGA calculation of a geometry-optimized Rb2Pb2SeS2 structure, from Alexandria via LeMat-Bulk.

- E_form (uncorrected) (kJ/mol of formula units) = -500

Geometry as CIF:
```
data_Rb2Pb2SeS2
_cell_length_a 4.617
_cell_length_b 7.868
_cell_length_c 8.569
_cell_angle_alpha 116.27
_cell_angle_beta 90.05
_cell_angle_gamma 106.96
_symmetry_space_group_name_H-M 'P -1'
_symmetry_Int_Tables_number 2
_symmetry_space_group_name_Hall '-P 1'
loop_
_atom_site_label
_atom_site_fract_x
_atom_site_fract_y
_atom_site_fract_z
Rb1 0.034 0.071 0.242
Pb1 0.292 0.584 0.208
Se1 0.500 0.000 0.500
S1 0.344 0.690 0.949
```

=====

Entry 10:
The following is a PBE-GGA calculation of a geometry-optimized Rb2Si2PbS6 structure, from Alexandria via LeMat-Bulk.

- E_form (uncorrected) (kJ/mol of formula units) = -804

Geometry as CIF:
```
data_Rb2Si2PbS6
_cell_length_a 7.1570
_cell_length_b 7.1570
_cell_length_c 24.1652
_cell_angle_alpha 90.00
_cell_angle_beta 90.00
_cell_angle_gamma 120.00
_symmetry_space_group_name_H-M 'R -3 m'
_symmetry_Int_Tables_number 166
_symmetry_space_group_name_Hall '-R 3 2"'
loop_
_atom_site_label
_atom_site_fract_x
_atom_site_fract_y
_atom_site_fract_z
Rb1 0.0000 0.0000 0.2151
Si1 0.0000 0.0000 0.4163
Pb1 0.0000 0.0000 0.0000
S1 0.0037 0.5018 0.2461
```

=====

Entry 11:
The following is a PBE-GGA calculation of a geometry-optimized RbSnPbS3 structure, from Alexandria via LeMat-Bulk.

- E_form (uncorrected) (kJ/mol of formula units) = -367

Geometry as CIF:
```
data_RbSnPbS3
_cell_length_a 7.382
_cell_length_b 4.651
_cell_length_c 10.804
_cell_angle_alpha 90.00
_cell_angle_beta 90.52
_cell_angle_gamma 90.00
_symmetry_space_group_name_H-M 'P 1 21/m 1'
_symmetry_Int_Tables_number 11
_symmetry_space_group_name_Hall '-P 2yb'
loop_
_atom_site_label
_atom_site_fract_x
_atom_site_fract_y
_atom_site_fract_z
Rb1 0.244 0.250 0.181
Sn1 0.255 0.250 0.819
Pb1 0.251 0.750 0.557
S1 0.012 0.250 0.653
S2 0.252 0.750 0.913
S3 0.495 0.250 0.655
```

=====

Entry 12:
The following is a PBE-GGA calculation of a geometry-optimized Rb3SnPb2S6 structure, from Alexandria via LeMat-Bulk.

- E_form (uncorrected) (kJ/mol of formula units) = -829

Geometry as CIF:
```
data_Rb3SnPb2S6
_cell_length_a 7.229
_cell_length_b 12.503
_cell_length_c 8.057
_cell_angle_alpha 90.00
_cell_angle_beta 107.51
_cell_angle_gamma 90.00
_symmetry_space_group_name_H-M 'C 1 2/m 1'
_symmetry_Int_Tables_number 12
_symmetry_space_group_name_Hall '-C 2y'
loop_
_atom_site_label
_atom_site_fract_x
_atom_site_fract_y
_atom_site_fract_z
Rb1 0.000 0.000 0.000
Rb2 0.000 0.325 0.000
Sn1 0.000 0.500 0.500
Pb1 0.000 0.166 0.500
S1 0.215 0.350 0.695
S2 0.230 0.500 0.303
```